A plane-wave DFT calculation with PBE was carried out for a relaxed structure of TcI3N.

Cell lengths 5.0623, 5.0623, 5.0623 Å; angles 90.00, 90.00, 90.00 degrees
Last column: nearest neighbours and their distance in Å.
Space group Pm-3m (No. 221)
Asymmetric unit:
Tc 0.0000 0.0000 0.0000 [1 per cell]  12 I 3.58
I 0.0000 0.5000 0.5000 [3 per cell]  2 N 2.53
N 0.5000 0.5000 0.5000 [1 per cell]  6 I 2.53

Output
Raw total energy, eV/atom: -3.152
Formation energy (no corrections), meV/atom: 1517
D(E_F), states/eV per atom: 0.829

A plane-wave DFT calculation with PBE was carried out for a relaxed structure of TcI2N.

Cell lengths 6.7010, 6.7010, 6.7010 Å; angles 90.00, 90.00, 90.00 degrees
Last column: nearest neighbours and their distance in Å.
Space group Fm-3m (No. 225)
Asymmetric unit:
Tc 0.0000 0.0000 0.0000 [4 per cell]  8 I 2.90
I 0.2500 0.2500 0.2500 [8 per cell]  4 Tc 2.90, 4 N 2.90
N 0.0000 0.0000 0.5000 [4 per cell]  8 I 2.90

Output
Raw total energy, eV/atom: -3.767
Formation energy (no corrections), meV/atom: 1681
D(E_F), states/eV per atom: 0.698

A plane-wave DFT calculation with PBE was carried out for a relaxed structure of TcI3N.

Cell lengths 5.3520, 5.3520, 5.3520 Å; angles 90.00, 90.00, 90.00 degrees
Last column: nearest neighbours and their distance in Å.
Space group Pm-3m (No. 221)
Asymmetric unit:
Tc 0.0000 0.0000 0.0000 [1 per cell]  6 I 2.68
I 0.0000 0.0000 0.5000 [3 per cell]  2 Tc 2.68
N 0.5000 0.5000 0.5000 [1 per cell]  12 I 3.78

Output
Raw total energy, eV/atom: -2.957
Formation energy (no corrections), meV/atom: 1711
D(E_F), states/eV per atom: 2.036

A plane-wave DFT calculation with PBE was carried out for a relaxed structure of TcI2N.

Cell lengths 5.7750, 5.7750, 11.6525 Å; angles 90.00, 90.00, 90.00 degrees
Last column: nearest neighbours and their distance in Å.
Space group I-42d (No. 122)
Asymmetric unit:
Tc 0.0000 0.0000 0.0000 [4 per cell]  4 I 2.57
I 0.2324 0.2500 0.6250 [8 per cell]  2 N 2.45, 2 Tc 2.57
N 0.0000 0.0000 0.5000 [4 per cell]  4 I 2.45

Output
Raw total energy, eV/atom: -3.920
Formation energy (no corrections), meV/atom: 1528
D(E_F), states/eV per atom: 0.186

A plane-wave DFT calculation with PBE was carried out for a relaxed structure of TcTe2IN.

Cell lengths 5.9191, 5.9191, 3.9112 Å; angles 90.00, 90.00, 90.00 degrees
Last column: nearest neighbours and their distance in Å.
Space group P4/mmm (No. 123)
Asymmetric unit:
Tc 0.0000 0.0000 0.0000 [1 per cell]  8 Te 3.55, 2 Tc 3.91
Te 0.0000 0.5000 0.5000 [2 per cell]  2 I 2.96
I 0.5000 0.5000 0.5000 [1 per cell]  2 N 1.96
N 0.5000 0.5000 0.0000 [1 per cell]  2 I 1.96

Output
Raw total energy, eV/atom: -3.522
Formation energy (no corrections), meV/atom: 1783
D(E_F), states/eV per atom: 0.704

A plane-wave DFT calculation with PBE was carried out for a relaxed structure of TcTe2IN.

Cell lengths 5.5598, 5.5598, 3.7675 Å; angles 90.00, 90.00, 90.00 degrees
Last column: nearest neighbours and their distance in Å.
Space group P4/mmm (No. 123)
Asymmetric unit:
Tc 0.0000 0.0000 0.0000 [1 per cell]  2 N 1.88
Te 0.0000 0.5000 0.0000 [2 per cell]  2 Tc 2.78
I 0.5000 0.5000 0.5000 [1 per cell]  8 Te 3.36
N 0.0000 0.0000 0.5000 [1 per cell]  2 Tc 1.88

Output
Raw total energy, eV/atom: -4.942
Formation energy (no corrections), meV/atom: 363
D(E_F), states/eV per atom: 0.861

A plane-wave DFT calculation with PBE was carried out for a relaxed structure of TcTe2IN.

Cell lengths 5.1323, 5.1323, 5.9136 Å; angles 90.00, 90.00, 90.00 degrees
Last column: nearest neighbours and their distance in Å.
Space group P4/mmm (No. 123)
Asymmetric unit:
Tc 0.0000 0.0000 0.0000 [1 per cell]  4 Te 2.57
Te 0.0000 0.5000 0.0000 [2 per cell]  2 Tc 2.57
I 0.0000 0.0000 0.5000 [1 per cell]  2 Tc 2.96
N 0.5000 0.5000 0.5000 [1 per cell]  4 I 3.63, 8 Te 3.92

Output
Raw total energy, eV/atom: -3.955
Formation energy (no corrections), meV/atom: 1350
D(E_F), states/eV per atom: 0.808

A plane-wave DFT calculation with PBE was carried out for a relaxed structure of Tc2TeIN.

Cell lengths 4.0830, 4.0830, 6.7843 Å; angles 90.00, 90.00, 90.00 degrees
Last column: nearest neighbours and their distance in Å.
Space group P4/mmm (No. 123)
Asymmetric unit:
Tc 0.0000 0.5000 0.0000 [2 per cell]  2 N 2.04
Te 0.0000 0.0000 0.5000 [1 per cell]  4 I 2.89
I 0.5000 0.5000 0.5000 [1 per cell]  4 Te 2.89
N 0.5000 0.5000 0.0000 [1 per cell]  4 Tc 2.04

Output
Raw total energy, eV/atom: -5.695
Formation energy (no corrections), meV/atom: 1055
D(E_F), states/eV per atom: 0.989